No. 1
A plane-wave DFT calculation with PBE-GGA was carried out for a relaxed structure of YAgW2.

Lattice parameters (Å, degrees): 2.8696 5.1713 5.1889 90.00 96.01 90.00
Closest atoms and distances in Å follow each position.
Space group P2/m (No. 10)
Inequivalent atoms, fractional coordinates:
Y 0.0000 0.0000 0.0000 [1 per cell]  4 Ag 2.83-3.09, 2 Y 2.87, 4 W 3.07
Ag 0.5000 0.0000 0.5000 [1 per cell]  4 Y 2.83-3.09, 2 Ag 2.87, 4 W 2.97
W 0.3308 0.5000 0.7576 [2 per cell]  3 W 2.60-2.87

As for the mass density: 12.24 g cm⁻³. The value obtained for the electronic total energy is -32.86 eV/cell. The value obtained for the energy relative to the lowest polymorph listed for this composition is 267 meV/atom. The density of states at the Fermi level is 2.9 states/eV/cell. The formation energy is 0.59 eV/atom.


No. 2
A plane-wave DFT calculation with PBE-GGA was carried out for a relaxed structure of Y2AgW.

Lattice parameters (Å, degrees): 3.2804 3.2804 29.6427 90.00 90.00 120.00
Closest atoms and distances in Å follow each position.
Space group R-3m (No. 166, hexagonal axes)
Inequivalent atoms, fractional coordinates:
Y 0.0000 0.0000 0.2470 [6 per cell]  3 W 3.04, 3 Ag 3.18, 6 Y 3.28
Ag 0.0000 0.0000 0.0000 [3 per cell]  6 Y 3.18, 6 Ag 3.28
W 0.0000 0.0000 0.5000 [3 per cell]  6 Y 3.04, 6 W 3.28

As for the mass density: 8.47 g cm⁻³. The value obtained for the electronic total energy is -80.83 eV/cell. The value obtained for the energy relative to the lowest polymorph listed for this composition is 251 meV/atom. The density of states at the Fermi level is 13.2 states/eV/cell. The formation energy is 0.45 eV/atom.


No. 3
A plane-wave DFT calculation with PBE-GGA was carried out for a relaxed structure of YAgW2.

Lattice parameters (Å, degrees): 3.9794 3.9794 9.7812 90.00 90.00 90.00
Closest atoms and distances in Å follow each position.
Space group I4/mmm (No. 139)
Inequivalent atoms, fractional coordinates:
Y 0.0000 0.0000 0.0000 [2 per cell]  4 Ag 2.81
Ag 0.0000 0.0000 0.5000 [2 per cell]  4 Y 2.81
W 0.0000 0.5000 0.2500 [4 per cell]  4 W 2.81

As for the mass density: 12.10 g cm⁻³. The value obtained for the electronic total energy is -65.31 eV/cell. The value obtained for the energy relative to the lowest polymorph listed for this composition is 318 meV/atom. The density of states at the Fermi level is 6.7 states/eV/cell. The formation energy is 0.64 eV/atom.


No. 4
A plane-wave DFT calculation with PBE-GGA was carried out for a relaxed structure of YAgW.

Lattice parameters (Å, degrees): 2.9398 2.9398 13.8224 90.00 90.00 90.00
Closest atoms and distances in Å follow each position.
Space group I4mm (No. 107)
Inequivalent atoms, fractional coordinates:
Y 0.0000 0.0000 0.0000 [2 per cell]  4 Y 2.94, 4 W 3.13, 4 Ag 3.25
Ag 0.0000 0.0000 0.3193 [2 per cell]  4 Ag 2.94, 4 W 2.94, 4 Y 3.25
W 0.0000 0.0000 0.6688 [2 per cell]  4 W 2.94, 4 Ag 2.94, 4 Y 3.13

As for the mass density: 10.58 g cm⁻³. The value obtained for the electronic total energy is -41.76 eV/cell. The value obtained for the energy relative to the lowest polymorph listed for this composition is 0 meV/atom. The density of states at the Fermi level is 3.4 states/eV/cell. The formation energy is 0.46 eV/atom.


No. 5
A plane-wave DFT calculation with PBE-GGA was carried out for a relaxed structure of YAgW.

Lattice parameters (Å, degrees): 3.0044 3.0044 7.6887 90.00 90.00 120.00
Closest atoms and distances in Å follow each position.
Space group P3m1 (No. 156)
Inequivalent atoms, fractional coordinates:
Y 0.0000 0.0000 0.0000 [1 per cell]  6 Y 3.00, 3 W 3.12, 3 Ag 3.22
Ag 0.6667 0.3333 0.3534 [1 per cell]  3 W 2.95, 6 Ag 3.00, 3 Y 3.22
W 0.3333 0.6667 0.6632 [1 per cell]  3 Ag 2.95, 6 W 3.00, 3 Y 3.12

As for the mass density: 10.52 g cm⁻³. The value obtained for the electronic total energy is -20.32 eV/cell. The value obtained for the energy relative to the lowest polymorph listed for this composition is 188 meV/atom. The density of states at the Fermi level is 2.3 states/eV/cell. The formation energy is 0.65 eV/atom.


No. 6
A plane-wave DFT calculation with PBE-GGA was carried out for a relaxed structure of YAgW.

Lattice parameters (Å, degrees): 6.7714 6.7714 6.7714 90.00 90.00 90.00
Closest atoms and distances in Å follow each position.
Space group F-43m (No. 216)
Inequivalent atoms, fractional coordinates:
Y 0.0000 0.0000 0.0000 [4 per cell]  4 W 2.93, 4 Ag 2.93
Ag 0.2500 0.2500 0.2500 [4 per cell]  4 Y 2.93
W 0.2500 0.2500 0.7500 [4 per cell]  4 Y 2.93

As for the mass density: 8.14 g cm⁻³. The value obtained for the electronic total energy is -70.62 eV/cell. The value obtained for the energy relative to the lowest polymorph listed for this composition is 1075 meV/atom. The density of states at the Fermi level is 13.9 states/eV/cell. The formation energy is 1.54 eV/atom.


Q: Number 1 is which compound?
A: YAgW2


Q: Which formula does entry 5 have?
A: YAgW